# 1
## CdPd2Pb (PBE)

Data for a relaxed CdPd2Pb crystal.

Cell: 6.2026 6.2026 6.2026 Å, 152.14 129.57 58.60°
Sites, in units of the cell vectors:
Cd (0.0000, 0.0000, 0.0000)
Pd (0.2487, 0.2487, 0.0000)
Pd (0.7513, 0.7513, 0.0000)
Pb (0.5000, 0.5000, 0.0000)

Results
Energy of formation from the pure elements ... 0.1960 eV/atom
Space-group type ... Immm, No. 71
Electronic total energy ... -3.5563 eV per atom
DOS at the Fermi energy ... 0.5481 states/eV/atom

---

# 2
## GdYMgRu (PBE)

Data for a relaxed GdYMgRu crystal.

Cell: 5.0514 5.0514 5.0514 Å, 60.00 60.00 60.00°
Sites, in units of the cell vectors:
Gd (0.0000, 0.0000, 0.0000)
Y (0.5000, 0.5000, 0.5000)
Mg (0.7500, 0.7500, 0.7500)
Ru (0.2500, 0.2500, 0.2500)

Results
Energy of formation from the pure elements ... -0.1734 eV/atom
Space-group type ... F-43m, No. 216
Electronic total energy ... -8.0273 eV per atom
DOS at the Fermi energy ... 0.9830 states/eV/atom

---

# 3
## CaP2Os (PBE)

Data for a relaxed CaP2Os crystal.

Cell: 6.0123 6.0123 6.0123 Å, 38.09 38.09 38.09°
Sites, in units of the cell vectors:
Ca (0.0000, 0.0000, 0.0000)
P (0.2190, 0.2190, 0.2190)
P (0.4478, 0.4478, 0.4478)
Os (0.8130, 0.8130, 0.8130)

Results
Energy of formation from the pure elements ... -0.5909 eV/atom
Space-group type ... R3m, No. 160
Electronic total energy ... -6.6036 eV per atom
DOS at the Fermi energy ... 0.2550 states/eV/atom

---

# 4
## NdAl4 (PBE)

Data for a relaxed NdAl4 crystal.

Cell: 8.2450 8.2450 11.3825 Å, 122.35 122.35 29.26°
Sites, in units of the cell vectors:
Nd (0.0000, 0.0000, 0.0000)
Nd (0.3421, 0.3421, 0.3103)
Nd (0.6579, 0.6579, 0.6897)
Al (0.0188, 0.0188, 0.3906)
Al (0.1403, 0.1403, 0.2937)
Al (0.1743, 0.1743, 0.9324)
Al (0.2368, 0.2368, 0.5667)
Al (0.3301, 0.3301, 0.8838)
Al (0.4841, 0.4841, 0.1962)
Al (0.5159, 0.5159, 0.8038)
Al (0.6699, 0.6699, 0.1162)
Al (0.7632, 0.7632, 0.4333)
Al (0.8257, 0.8257, 0.0676)
Al (0.8597, 0.8597, 0.7063)
Al (0.9812, 0.9812, 0.6094)

Results
Energy of formation from the pure elements ... -0.1993 eV/atom
Space-group type ... C2/m, No. 12
Electronic total energy ... -4.1469 eV per atom
DOS at the Fermi energy ... 0.4419 states/eV/atom

---

# 5
## Tb4Y2S9 (PBE)

Data for a relaxed Tb4Y2S9 crystal.

Cell: 6.9398 6.9398 18.5699 Å, 90.00 90.00 120.00°
Sites, in units of the cell vectors:
Tb (0.3333, 0.6667, 0.1840)
Tb (0.3333, 0.6667, 0.4822)
Tb (0.3333, 0.6667, 0.6840)
Tb (0.3333, 0.6667, 0.9822)
Tb (0.6667, 0.3333, 0.0178)
Tb (0.6667, 0.3333, 0.3160)
Tb (0.6667, 0.3333, 0.5178)
Tb (0.6667, 0.3333, 0.8160)
Y (0.0000, 0.0000, 0.1496)
Y (0.0000, 0.0000, 0.3504)
Y (0.0000, 0.0000, 0.6496)
Y (0.0000, 0.0000, 0.8504)
S (0.0000, 0.3000, 0.2500)
S (0.0000, 0.7000, 0.7500)
S (0.0337, 0.3656, 0.5833)
S (0.0337, 0.6681, 0.0833)
S (0.3000, 0.0000, 0.2500)
S (0.3000, 0.3000, 0.7500)
S (0.3319, 0.3656, 0.0833)
S (0.3319, 0.9663, 0.5833)
S (0.3656, 0.0337, 0.9167)
S (0.3656, 0.3319, 0.4167)
S (0.6344, 0.6681, 0.5833)
S (0.6344, 0.9663, 0.0833)
S (0.6681, 0.0337, 0.4167)
S (0.6681, 0.6344, 0.9167)
S (0.7000, 0.0000, 0.7500)
S (0.7000, 0.7000, 0.2500)
S (0.9663, 0.3319, 0.9167)
S (0.9663, 0.6344, 0.4167)

Results
Space-group type ... P-3c1, No. 165
Electronic total energy ... -6.6347 eV per atom
Formation energy without anion corrections ... -2.062 eV per atom
DOS at the Fermi energy ... 0.0000 states/eV/atom

---

# 6
## SrNd2MnN4 (PBE)

Data for a relaxed SrNd2MnN4 crystal.

Cell: 6.3662 6.3662 12.1121 Å, 90.00 90.00 147.54°
Sites, in units of the cell vectors:
Sr (0.1017, 0.8983, 0.7500)
Sr (0.8983, 0.1017, 0.2500)
Nd (0.3691, 0.6309, 0.5429)
Nd (0.3691, 0.6309, 0.9571)
Nd (0.6309, 0.3691, 0.0429)
Nd (0.6309, 0.3691, 0.4571)
Mn (0.1775, 0.8225, 0.2500)
Mn (0.8225, 0.1775, 0.7500)
N (0.0000, 0.0000, 0.0000)
N (0.0000, 0.0000, 0.5000)
N (0.2624, 0.7376, 0.1287)
N (0.2624, 0.7376, 0.3713)
N (0.3922, 0.6078, 0.7500)
N (0.6078, 0.3922, 0.2500)
N (0.7376, 0.2624, 0.6287)
N (0.7376, 0.2624, 0.8713)

Results
Space-group type ... Cmcm, No. 63
Electronic total energy ... -7.6425 eV per atom
Formation energy without anion corrections ... -0.931 eV per atom
DOS at the Fermi energy ... 0.1713 states/eV/atom

---

# 7
## Sr3PdI3 (PBE)

Data for a relaxed Sr3PdI3 crystal.

Cell: 11.3824 11.3824 11.3824 Å, 109.47 109.47 109.47°
Sites, in units of the cell vectors:
Sr (0.0129, 0.0258, 0.2629)
Sr (0.0129, 0.4871, 0.7500)
Sr (0.0258, 0.2629, 0.0129)
Sr (0.2371, 0.2629, 0.7500)
Sr (0.2371, 0.4742, 0.4871)
Sr (0.2629, 0.0129, 0.0258)
Sr (0.2629, 0.7500, 0.2371)
Sr (0.4742, 0.4871, 0.2371)
Sr (0.4871, 0.2371, 0.4742)
Sr (0.4871, 0.7500, 0.0129)
Sr (0.7500, 0.0129, 0.4871)
Sr (0.7500, 0.2371, 0.2629)
Pd (0.0000, 0.2500, 0.5000)
Pd (0.2500, 0.2500, 0.2500)
Pd (0.2500, 0.5000, 0.0000)
Pd (0.5000, 0.0000, 0.2500)
I (0.2500, 0.7548, 0.7452)
I (0.2500, 0.9952, 0.5048)
I (0.5048, 0.2500, 0.9952)
I (0.5048, 0.7548, 0.5095)
I (0.5095, 0.5048, 0.7548)
I (0.7452, 0.2500, 0.7548)
I (0.7452, 0.9952, 0.9905)
I (0.7548, 0.5095, 0.5048)
I (0.7548, 0.7452, 0.2500)
I (0.9905, 0.7452, 0.9952)
I (0.9952, 0.5048, 0.2500)
I (0.9952, 0.9905, 0.7452)

Results
Space-group type ... I4_132, No. 214
Electronic total energy ... -3.3657 eV per atom
Formation energy without anion corrections ... -1.239 eV per atom
DOS at the Fermi energy ... 0.5445 states/eV/atom

---

# 8
## Ba2MnZn (PBE)

Data for a relaxed Ba2MnZn crystal.

Cell: 9.5278 9.5278 9.5278 Å, 27.04 27.04 27.04°
Sites, in units of the cell vectors:
Ba (0.2483, 0.2483, 0.2483)
Ba (0.7517, 0.7517, 0.7517)
Mn (0.5000, 0.5000, 0.5000)
Zn (0.0000, 0.0000, 0.0000)

Results
Energy of formation from the pure elements ... 0.4509 eV/atom
Space-group type ... R-3m, No. 166
Electronic total energy ... -3.1213 eV per atom
DOS at the Fermi energy ... 1.2843 states/eV/atom

---

# 9
## Cu2RuBr (PBE)

Data for a relaxed Cu2RuBr crystal.

Cell: 3.2433 3.2433 6.0930 Å, 90.00 90.00 90.00°
Sites, in units of the cell vectors:
Cu (0.0000, 0.0000, 0.2129)
Cu (0.0000, 0.0000, 0.7871)
Ru (0.5000, 0.5000, 0.0000)
Br (0.5000, 0.5000, 0.5000)

Results
Space-group type ... P4/mmm, No. 123
Electronic total energy ... -4.1972 eV per atom
Formation energy without anion corrections ... 0.588 eV per atom
DOS at the Fermi energy ... 1.0300 states/eV/atom

---

# 10
## SrMn2Mo (PBE)

Data for a relaxed SrMn2Mo crystal.

Cell: 9.0382 9.0382 9.0382 Å, 20.49 20.49 20.49°
Sites, in units of the cell vectors:
Sr (0.0000, 0.0000, 0.0000)
Mn (0.2315, 0.2315, 0.2315)
Mn (0.7685, 0.7685, 0.7685)
Mo (0.5000, 0.5000, 0.5000)

Results
Energy of formation from the pure elements ... 0.8554 eV/atom
Space-group type ... R-3m, No. 166
Electronic total energy ... -6.8576 eV per atom
DOS at the Fermi energy ... 1.2460 states/eV/atom

---

# 11
## BaZnRu2 (PBE)

Data for a relaxed BaZnRu2 crystal.

Cell: 5.6095 5.6095 5.6095 Å, 147.64 123.91 66.26°
Sites, in units of the cell vectors:
Ba (0.0000, 0.0000, 0.0000)
Zn (0.5000, 0.5000, 0.0000)
Ru (0.2784, 0.7784, 0.5000)
Ru (0.7216, 0.2216, 0.5000)

Results
Energy of formation from the pure elements ... 0.7633 eV/atom
Space-group type ... Immm, No. 71
Electronic total energy ... -4.6738 eV per atom
DOS at the Fermi energy ... 1.3781 states/eV/atom

---

# 12
## Ti2ZnIr2 (PBE)

Data for a relaxed Ti2ZnIr2 crystal.

Cell: 6.9366 6.9366 2.9139 Å, 97.56 97.56 36.60°
Sites, in units of the cell vectors:
Ti (0.1490, 0.1490, 0.4165)
Ti (0.8510, 0.8510, 0.5835)
Zn (0.5000, 0.5000, 0.5000)
Ir (0.3218, 0.3218, 0.0462)
Ir (0.6782, 0.6782, 0.9538)

Results
Energy of formation from the pure elements ... -0.5576 eV/atom
Space-group type ... C2/m, No. 12
Electronic total energy ... -7.5147 eV per atom
DOS at the Fermi energy ... 0.4015 states/eV/atom

---

# 13
## LiLa2MnC (PBE)

Data for a relaxed LiLa2MnC crystal.

Cell: 5.4044 5.4044 3.8204 Å, 90.00 90.00 90.00°
Sites, in units of the cell vectors:
Li (0.0000, 0.0000, 0.0000)
La (0.0000, 0.5000, 0.5000)
La (0.5000, 0.0000, 0.5000)
Mn (0.5000, 0.5000, 0.0000)
C (0.5000, 0.5000, 0.5000)

Results
Energy of formation from the pure elements ... -0.0204 eV/atom
Space-group type ... P4/mmm, No. 123
Electronic total energy ... -6.0529 eV per atom
DOS at the Fermi energy ... 0.9700 states/eV/atom

---

# 14
## ReMo3C (PBE)

Data for a relaxed ReMo3C crystal.

Cell: 4.1301 4.1301 4.1301 Å, 90.00 90.00 90.00°
Sites, in units of the cell vectors:
Re (0.0000, 0.0000, 0.0000)
Mo (0.0000, 0.5000, 0.5000)
Mo (0.5000, 0.0000, 0.5000)
Mo (0.5000, 0.5000, 0.0000)
C (0.5000, 0.5000, 0.5000)

Results
Energy of formation from the pure elements ... 0.1706 eV/atom
Space-group type ... Pm-3m, No. 221
Electronic total energy ... -10.6625 eV per atom
DOS at the Fermi energy ... 1.0082 states/eV/atom

---

# 15
## Rb2HgBiF6 (PBE)

Data for a relaxed Rb2HgBiF6 crystal.

Cell: 6.8312 6.8312 6.8312 Å, 119.93 119.93 90.12°
Sites, in units of the cell vectors:
Rb (0.2500, 0.7500, 0.5000)
Rb (0.7500, 0.2500, 0.5000)
Hg (0.0000, 0.0000, 0.0000)
Bi (0.5000, 0.5000, 0.0000)
F (0.2659, 0.2659, 0.0000)
F (0.2664, 0.2664, 0.5328)
F (0.2664, 0.7336, 0.0000)
F (0.7336, 0.2664, 0.0000)
F (0.7341, 0.7341, 0.0000)
F (0.7336, 0.7336, 0.4672)

Results
Space-group type ... I4/mmm, No. 139
Electronic total energy ... -3.9580 eV per atom
Formation energy without anion corrections ... -2.223 eV per atom
DOS at the Fermi energy ... 0.5370 states/eV/atom

---

# 16
## Pr7GeAs5 (PBE)

Data for a relaxed Pr7GeAs5 crystal.

Cell: 7.4024 7.4024 25.1358 Å, 90.00 90.00 146.27°
Sites, in units of the cell vectors:
Pr (0.0545, 0.9455, 0.7500)
Pr (0.1366, 0.8634, 0.0357)
Pr (0.1366, 0.8634, 0.4643)
Pr (0.3170, 0.6830, 0.6776)
Pr (0.3170, 0.6830, 0.8224)
Pr (0.4112, 0.5888, 0.1068)
Pr (0.4112, 0.5888, 0.3932)
Pr (0.5888, 0.4112, 0.6068)
Pr (0.5888, 0.4112, 0.8932)
Pr (0.6830, 0.3170, 0.1776)
Pr (0.6830, 0.3170, 0.3224)
Pr (0.8634, 0.1366, 0.5357)
Pr (0.8634, 0.1366, 0.9643)
Pr (0.9455, 0.0545, 0.2500)
Ge (0.2966, 0.7034, 0.2500)
Ge (0.7034, 0.2966, 0.7500)
As (0.0459, 0.9541, 0.1467)
As (0.0459, 0.9541, 0.3533)
As (0.2270, 0.7730, 0.5740)
As (0.2270, 0.7730, 0.9260)
As (0.5000, 0.5000, 0.0000)
As (0.5000, 0.5000, 0.5000)
As (0.7730, 0.2270, 0.0740)
As (0.7730, 0.2270, 0.4260)
As (0.9541, 0.0459, 0.6467)
As (0.9541, 0.0459, 0.8533)

Results
Energy of formation from the pure elements ... -1.2955 eV/atom
Space-group type ... Cmcm, No. 63
Electronic total energy ... -6.0125 eV per atom
DOS at the Fermi energy ... 0.3918 states/eV/atom

---

# 17
## CaCd2Br (PBE)

Data for a relaxed CaCd2Br crystal.

Cell: 3.8595 3.8595 7.7350 Å, 90.00 90.00 90.34°
Sites, in units of the cell vectors:
Ca (0.0000, 0.0000, 0.0000)
Cd (0.5000, 0.5000, 0.2488)
Cd (0.5000, 0.5000, 0.7512)
Br (0.0000, 0.0000, 0.5000)

Results
Space-group type ... Cmmm, No. 65
Electronic total energy ... -1.7617 eV per atom
Formation energy without anion corrections ... -0.386 eV per atom
DOS at the Fermi energy ... 0.3863 states/eV/atom

---

# 18
## Li3ThPd2 (PBE)

Data for a relaxed Li3ThPd2 crystal.

Cell: 7.4020 7.4020 8.9252 Å, 120.05 120.05 31.66°
Sites, in units of the cell vectors:
Li (0.0663, 0.0663, 0.4070)
Li (0.2783, 0.2783, 0.4428)
Li (0.4225, 0.4225, 0.3222)
Li (0.5775, 0.5775, 0.6778)
Li (0.7217, 0.7217, 0.5572)
Li (0.9337, 0.9337, 0.5930)
Th (0.1308, 0.1308, 0.0105)
Th (0.8692, 0.8692, 0.9895)
Pd (0.2122, 0.2122, 0.7579)
Pd (0.4397, 0.4397, 0.8093)
Pd (0.5603, 0.5603, 0.1907)
Pd (0.7878, 0.7878, 0.2421)

Results
Energy of formation from the pure elements ... -0.4637 eV/atom
Space-group type ... C2/m, No. 12
Electronic total energy ... -4.3882 eV per atom
DOS at the Fermi energy ... 0.4017 states/eV/atom

---

# 19
## PaGe4Rh6 (PBE)

Data for a relaxed PaGe4Rh6 crystal.

Cell: 7.2251 7.2251 3.8379 Å, 90.00 90.00 120.00°
Sites, in units of the cell vectors:
Pa (0.0000, 0.0000, 0.0000)
Ge (0.3333, 0.6667, 0.0000)
Ge (0.3978, 0.1989, 0.5000)
Ge (0.8011, 0.1989, 0.5000)
Ge (0.8011, 0.6022, 0.5000)
Rh (0.1942, 0.3884, 0.5000)
Rh (0.1942, 0.8058, 0.5000)
Rh (0.5326, 0.0652, 0.0000)
Rh (0.5326, 0.4674, 0.0000)
Rh (0.6116, 0.8058, 0.5000)
Rh (0.9348, 0.4674, 0.0000)

Results
Energy of formation from the pure elements ... -0.7057 eV/atom
Space-group type ... P-6m2, No. 187
Electronic total energy ... -7.2579 eV per atom
DOS at the Fermi energy ... 0.4611 states/eV/atom

---

# 20
## RbTiRu3 (PBE)

Data for a relaxed RbTiRu3 crystal.

Cell: 4.7761 4.7761 4.7761 Å, 90.00 90.00 90.00°
Sites, in units of the cell vectors:
Rb (0.0000, 0.0000, 0.0000)
Ti (0.5000, 0.5000, 0.5000)
Ru (0.0000, 0.5000, 0.5000)
Ru (0.5000, 0.0000, 0.5000)
Ru (0.5000, 0.5000, 0.0000)

Results
Energy of formation from the pure elements ... 1.3230 eV/atom
Space-group type ... Pm-3m, No. 221
Electronic total energy ... -6.0150 eV per atom
DOS at the Fermi energy ... 1.2094 states/eV/atom

---

# 21
## SbTe2P (PBE)

Data for a relaxed SbTe2P crystal.

Cell: 5.2493 5.2493 5.2493 Å, 109.66 109.66 109.10°
Sites, in units of the cell vectors:
Sb (0.0000, 0.0000, 0.0000)
Te (0.0000, 0.5000, 0.5000)
Te (0.5000, 0.0000, 0.5000)
P (0.5000, 0.5000, 0.0000)

Results
Space-group type ... I4/mmm, No. 139
Electronic total energy ... -3.7144 eV per atom
Formation energy without anion corrections ... 0.240 eV per atom
DOS at the Fermi energy ... 0.4555 states/eV/atom

---

no.,total moment (Bohr magnetons per cell)
1,0.0
2,7.1
3,0.0
4,0.0
5,0.0
6,5.5
7,1.3
8,3.3
9,1.8
10,4.7
11,0.0
12,0.0
13,1.7
14,0.0
15,0.0
16,1.1
17,0.0
18,0.0
19,0.0
20,3.7
21,0.0